A geometry-optimized InNiCl3 structure, computed with GGA-PBE.

abc: 4.767 4.767 4.767
angles: 90.00 90.00 90.00
Fractional positions:
Ni: 0.000 0.000 0.000
Cl: 0.500 0.000 0.000
Cl: 0.000 0.500 0.000
Cl: 0.000 0.000 0.500
In: 0.500 0.500 0.500

**Formation energy from raw total energies**: -0.587 eV/atom

---

A geometry-optimized Li6Sn2P structure, computed with GGA-PBE.

abc: 3.026 7.607 7.940
angles: 118.63 90.00 90.00
Fractional positions:
Li: 0.000 0.990 0.320
Li: 0.000 0.010 0.680
Li: 0.000 0.671 0.680
Li: 0.500 0.274 0.000
Li: 0.000 0.329 0.320
Li: 0.500 0.726 0.000
Sn: 0.500 0.328 0.655
Sn: 0.500 0.672 0.345
P: 0.000 0.000 0.000

**ΔH_f (0 K)**: -0.408 eV/atom

---

A geometry-optimized TaPI3 structure, computed with GGA-PBE.

abc: 5.442 5.442 5.442
angles: 90.00 90.00 90.00
Last column: magnetic moment on the atom in μB.
Fractional positions:
I: 0.000 0.000 0.500  -0.01
I: 0.000 0.500 0.000  -0.02
I: 0.500 0.000 0.000  -0.01
P: 0.000 0.000 0.000  -0.01
Ta: 0.500 0.500 0.500  2.32

**Formation energy from raw total energies**: 1.272 eV/atom

---

A geometry-optimized Pm3HoZr2N6 structure, computed with GGA-PBE.

abc: 5.951 5.951 6.027
angles: 99.46 99.46 120.00
Fractional positions:
Pm: 0.500 0.500 0.500
Pm: 0.166 0.834 0.500
Pm: 0.834 0.166 0.500
N: 0.925 0.581 0.775
N: 0.730 0.730 0.223
N: 0.075 0.419 0.225
N: 0.581 0.925 0.775
N: 0.270 0.270 0.777
N: 0.419 0.075 0.225
Zr: 0.334 0.666 0.000
Zr: 0.666 0.334 0.000
Ho: 0.000 0.000 0.000

**Formation energy from raw total energies**: -1.599 eV/atom

---

A geometry-optimized KP2H8 structure, computed with GGA-PBE.

abc: 6.899 4.193 5.017
angles: 114.70 109.33 90.00
Fractional positions:
K: 0.000 0.000 0.000
H: 0.414 0.172 0.343
H: 0.912 0.284 0.568
H: 0.338 0.128 0.749
H: 0.338 0.621 0.749
H: 0.662 0.872 0.251
H: 0.586 0.828 0.657
H: 0.088 0.716 0.432
H: 0.662 0.379 0.251
P: 0.332 0.768 0.536
P: 0.668 0.232 0.464

**Energy**: -37.751 eV/cell

---

A geometry-optimized Cs5H4Au structure, computed with GGA-PBE.

abc: 4.607 6.754 12.408
angles: 105.79 100.70 90.00
Fractional positions:
H: 0.605 0.605 0.210
H: 0.206 0.206 0.412
H: 0.395 0.395 0.790
H: 0.794 0.794 0.588
Cs: 0.617 0.117 0.233
Cs: 0.383 0.883 0.767
Cs: 0.802 0.302 0.604
Cs: 0.000 0.500 0.000
Cs: 0.198 0.698 0.396
Au: 0.000 0.000 0.000

**Energy**: -22.763 eV/cell